# 1
Computed, not measured: a relaxed structure of Co2AgIr at the PBE level of DFT.

Results
Total DFT energy (no corrections)   -45.86 eV/cell
ΔE_f   72.3 kJ/mol of atoms
Crystal system   tetragonal

```
data_Co2AgIr
_symmetry_space_group_name_H-M 'P 1'
_symmetry_Int_Tables_number 1
_cell_length_a 6.797
_cell_length_b 6.797
_cell_length_c 5.494
_cell_angle_alpha 51.79
_cell_angle_beta 51.79
_cell_angle_gamma 90.00
loop_
_symmetry_equiv_pos_as_xyz
'x,y,z'
loop_
_atom_site_label
_atom_site_type_symbol
_atom_site_fract_x
_atom_site_fract_y
_atom_site_fract_z
Ir1 Ir 0.000 0.000 0.000
Ir2 Ir 0.750 0.250 0.500
Co1 Co 0.656 0.125 0.250
Co2 Co 0.094 0.625 0.250
Co3 Co 0.375 0.344 0.750
Co4 Co 0.875 0.906 0.750
Ag1 Ag 0.500 0.500 0.000
Ag2 Ag 0.250 0.750 0.500
```


# 2
Computed, not measured: a relaxed structure of Li2GeSbTe4 at the PBE level of DFT.

Results
Formation energy (no corrections)   -38.8 kJ per mole of atoms
Total DFT energy (no corrections)   -28.35 eV/cell
Crystal system   monoclinic

```
data_Li2GeSbTe4
_symmetry_space_group_name_H-M 'P 1'
_symmetry_Int_Tables_number 1
_cell_length_a 4.184
_cell_length_b 7.263
_cell_length_c 7.491
_cell_angle_alpha 109.01
_cell_angle_beta 90.00
_cell_angle_gamma 90.00
loop_
_symmetry_equiv_pos_as_xyz
'x,y,z'
loop_
_atom_site_label
_atom_site_type_symbol
_atom_site_fract_x
_atom_site_fract_y
_atom_site_fract_z
Li1 Li 0.500 0.000 0.500
Li2 Li 0.000 0.500 0.500
Ge1 Ge 0.000 0.000 0.000
Sb1 Sb 0.500 0.500 0.000
Te1 Te 0.500 0.242 0.250
Te2 Te 0.500 0.758 0.750
Te3 Te 0.000 0.240 0.745
Te4 Te 0.000 0.760 0.255
```


# 3
Computed, not measured: a relaxed structure of KIn2SnPt at the PBE level of DFT.

Results
Total DFT energy (no corrections)   -15.75 eV/cell
ΔE_f   16.8 kJ/mol of atoms
Crystal system   tetragonal

```
data_KIn2SnPt
_symmetry_space_group_name_H-M 'P 1'
_symmetry_Int_Tables_number 1
_cell_length_a 5.879
_cell_length_b 5.141
_cell_length_c 5.879
_cell_angle_alpha 90.00
_cell_angle_beta 90.00
_cell_angle_gamma 90.00
loop_
_symmetry_equiv_pos_as_xyz
'x,y,z'
loop_
_atom_site_label
_atom_site_type_symbol
_atom_site_fract_x
_atom_site_fract_y
_atom_site_fract_z
K1 K 0.500 0.500 0.500
Sn1 Sn 0.000 0.000 0.000
Pt1 Pt 0.000 0.500 0.000
In1 In 0.000 0.000 0.500
In2 In 0.500 0.000 0.000
```


# 4
Computed, not measured: a relaxed structure of Ga3SiBi at the PBE level of DFT.

Results
Formation energy (no corrections)   101.4 kJ per mole of atoms
Total DFT energy (no corrections)   -13.13 eV/cell
Crystal system   cubic

```
data_Ga3SiBi
_symmetry_space_group_name_H-M 'P 1'
_symmetry_Int_Tables_number 1
_cell_length_a 5.487
_cell_length_b 5.487
_cell_length_c 5.487
_cell_angle_alpha 90.00
_cell_angle_beta 90.00
_cell_angle_gamma 90.00
loop_
_symmetry_equiv_pos_as_xyz
'x,y,z'
loop_
_atom_site_label
_atom_site_type_symbol
_atom_site_fract_x
_atom_site_fract_y
_atom_site_fract_z
Si1 Si 0.500 0.500 0.500
Bi1 Bi 0.000 0.000 0.000
Ga1 Ga 0.000 0.500 0.000
Ga2 Ga 0.000 0.000 0.500
Ga3 Ga 0.500 0.000 0.000
```


Total magnetic moment for every record listed, in sequence, given in μB/f.u.: 4.36; 0.00; 0.00; 0.73.